# LiPtWO6

A relaxed LiPtWO6 crystal (GGA+U, the Alexandria database).

Values from the calculation:
D(E_F) = 6.37 states/eV/f.u.
Calculated total energy = -6.3200 eV/atom

abc: 4.7222 4.7222 9.1301
angles: 90.00 90.00 90.00
Atoms (fractional coordinates):
Li 0.0000 0.0000 0.0000
Li 0.5000 0.5000 0.5000
Pt 0.0000 0.0000 0.3276
Pt 0.5000 0.5000 0.8276
W 0.0000 0.0000 0.6695
W 0.5000 0.5000 0.1695
O 0.1849 0.1849 0.5007
O 0.2051 0.2051 0.8173
O 0.2061 0.2061 0.1689
O 0.2939 0.7061 0.6689
O 0.2949 0.7051 0.3173
O 0.3151 0.6849 0.0007
O 0.6849 0.3151 0.0007
O 0.7051 0.2949 0.3173
O 0.7061 0.2939 0.6689
O 0.7939 0.7939 0.1689
O 0.7949 0.7949 0.8173
O 0.8151 0.8151 0.5007